(1)
DFT (GGA-PBE) results for an optimized crystal structure of NaLi2RhC.

## Properties
DFT formation energy = 0.04 eV/atom
Fermi-level density of states = 0.425 states/eV per atom
mass density = 3.5 g cm⁻³

a b c (Å): 4.3178 4.3178 3.9110
angles (deg): 90.00 90.00 90.00
Closest atoms and distances in Å follow each position.
Space group P4/mmm (No. 123)
Symmetry-distinct sites (fractional):
Na (0.0000, 0.0000, 0.0000) (multiplicity 1)  8 Li 2.91, 4 Rh 3.05
Li (0.0000, 0.5000, 0.5000) (multiplicity 2)  2 C 2.16
Rh (0.5000, 0.5000, 0.0000) (multiplicity 1)  2 C 1.96
C (0.5000, 0.5000, 0.5000) (multiplicity 1)  2 Rh 1.96, 4 Li 2.16

(2)
DFT (GGA-PBE) results for an optimized crystal structure of La3ScAg4.

## Properties
DFT formation energy = -0.24 eV/atom
Fermi-level density of states = 1.009 states/eV per atom
mass density = 7.2 g cm⁻³

a b c (Å): 3.6573 3.6573 15.4322
angles (deg): 90.00 90.00 90.00
Closest atoms and distances in Å follow each position.
Space group P4/mmm (No. 123)
Symmetry-distinct sites (fractional):
La (0.0000, 0.0000, 0.0000) (multiplicity 1)  8 Ag 3.28, 4 La 3.66
La (0.0000, 0.0000, 0.2626) (multiplicity 2)  8 Ag 3.29-3.36, 4 La 3.66, 1 Sc 3.66
Sc (0.0000, 0.0000, 0.5000) (multiplicity 1)  8 Ag 3.00
Ag (0.5000, 0.5000, 0.1308) (multiplicity 2)  8 La 3.28-3.29, 4 Ag 3.66
Ag (0.5000, 0.5000, 0.4013) (multiplicity 2)  4 Sc 3.00, 1 Ag 3.05, 4 La 3.36

(3)
DFT (GGA-PBE) results for an optimized crystal structure of Tm7Cd2Pb2.

## Properties
DFT formation energy = 0.04 eV/atom
Fermi-level density of states = 1.102 states/eV per atom
mass density = 9.0 g cm⁻³

a b c (Å): 7.2533 11.1322 8.3371
angles (deg): 90.00 90.00 90.00
Closest atoms and distances in Å follow each position.
Space group Cmmm (No. 65)
Symmetry-distinct sites (fractional):
Tm (0.0000, 0.0000, 0.0000) (multiplicity 2)  2 Cd 3.05
Tm (0.0000, 0.5000, 0.2106) (multiplicity 4)  2 Cd 3.07, 2 Pb 3.18, 4 Tm 3.39
Tm (0.2500, 0.2500, 0.2940) (multiplicity 8)  2 Cd 3.06, 2 Pb 3.28, 2 Tm 3.39
Cd (0.0000, 0.2741, 0.0000) (multiplicity 4)  7 Tm 3.05-3.07
Pb (0.2153, 0.0000, 0.5000) (multiplicity 4)  1 Pb 3.12, 6 Tm 3.18-3.28

(4)
DFT (GGA-PBE) results for an optimized crystal structure of HfAsW.

## Properties
DFT formation energy = -0.42 eV/atom
Fermi-level density of states = 0.437 states/eV per atom
mass density = 13.2 g cm⁻³

a b c (Å): 3.4838 3.4838 9.0440
angles (deg): 90.00 90.00 90.00
Closest atoms and distances in Å follow each position.
Space group P4/nmm (No. 129, origin choice 2)
Symmetry-distinct sites (fractional):
Hf (0.2500, 0.2500, 0.2304) (multiplicity 2)  4 As 2.66
As (0.2500, 0.2500, 0.8803) (multiplicity 2)  4 Hf 2.66, 1 W 2.78
W (0.2500, 0.2500, 0.5735) (multiplicity 2)  1 As 2.78, 4 W 2.80, 5 Hf 3.04-3.10